# BaAgRh

BaAgRh after structural relaxation (PBE-GGA, Alexandria).

a b c (Å): 5.007 5.007 5.007
angles (deg): 60.00 60.00 60.00
Fractional positions:
Ba1 0.000 0.000 0.000
Ag1 0.750 0.750 0.750
Rh1 0.250 0.250 0.250

Computed properties:
The calculation puts the density of states at the Fermi level at 1.7 states/eV/f.u. The calculation puts the final energy at -10.034 eV for the cell shown. The energy above the most stable polymorph in this dataset comes out at 0.708 eV/atom. As for the mass density: 6.512 Mg/m³. The calculation puts the energy of formation at 67.28 kJ per mole of atoms.

# BaAgRh

BaAgRh after structural relaxation (PBE-GGA, Alexandria).

a b c (Å): 4.559 4.559 4.598
angles (deg): 90.00 90.00 120.00
Fractional positions:
Ba1 0.000 0.000 0.000
Ag1 0.333 0.667 0.500
Rh1 0.667 0.333 0.500

Computed properties:
The calculation puts the density of states at the Fermi level at 1.6 states/eV/f.u. The calculation puts the final energy at -12.157 eV for the cell shown. The energy above the most stable polymorph in this dataset comes out at 0.000 eV/atom. As for the mass density: 6.984 Mg/m³. The calculation puts the energy of formation at -1.02 kJ per mole of atoms.

# BaAgRh2

BaAgRh2 after structural relaxation (PBE-GGA, Alexandria).

a b c (Å): 10.064 10.064 10.064
angles (deg): 152.92 152.92 38.67
Fractional positions:
Ba1 0.000 0.000 0.000
Ba2 0.750 0.250 0.500
Ag1 0.250 0.750 0.500
Ag2 0.500 0.500 0.000
Rh1 0.293 0.625 0.168
Rh2 0.375 0.543 0.668
Rh3 0.457 0.125 0.832
Rh4 0.875 0.707 0.332

Computed properties:
The calculation puts the density of states at the Fermi level at 2.9 states/eV/f.u. The calculation puts the final energy at -36.860 eV for the cell shown. As for the mass density: 7.103 Mg/m³. The calculation puts the energy of formation at 25.25 kJ per mole of atoms.

# BaAgRh

BaAgRh after structural relaxation (PBE-GGA, Alexandria).

a b c (Å): 5.990 5.990 5.990
angles (deg): 143.62 143.62 52.40
Fractional positions:
Ba1 0.000 0.000 0.000
Ag1 0.288 0.288 0.000
Rh1 0.704 0.704 0.000

Computed properties:
The calculation puts the density of states at the Fermi level at 1.9 states/eV/f.u. The calculation puts the final energy at -11.812 eV for the cell shown. The energy above the most stable polymorph in this dataset comes out at 0.115 eV/atom. As for the mass density: 7.689 Mg/m³. The calculation puts the energy of formation at 10.09 kJ per mole of atoms.

# Ba2AgRh

Ba2AgRh after structural relaxation (PBE-GGA, Alexandria).

a b c (Å): 7.044 7.044 7.044
angles (deg): 104.63 104.63 119.67
Fractional positions:
Ba1 0.083 0.625 0.958
Ba2 0.375 0.333 0.458
Ba3 0.667 0.125 0.042
Ba4 0.875 0.917 0.542
Ag1 0.250 0.750 0.500
Ag2 0.500 0.500 0.000
Rh1 0.000 0.000 0.000
Rh2 0.750 0.250 0.500

Computed properties:
The calculation puts the density of states at the Fermi level at 1.0 states/eV/f.u. The calculation puts the final energy at -27.576 eV for the cell shown. As for the mass density: 6.139 Mg/m³. The calculation puts the energy of formation at 6.28 kJ per mole of atoms.

# Ba2AgRh

Ba2AgRh after structural relaxation (PBE-GGA, Alexandria).

a b c (Å): 8.443 8.443 8.443
angles (deg): 31.25 31.25 31.25
Fractional positions:
Ba1 0.237 0.237 0.237
Ba2 0.763 0.763 0.763
Ag1 0.000 0.000 0.000
Rh1 0.500 0.500 0.500

Computed properties:
The calculation puts the density of states at the Fermi level at 2.1 states/eV/f.u. The calculation puts the final energy at -14.309 eV for the cell shown. As for the mass density: 5.607 Mg/m³. The calculation puts the energy of formation at -6.28 kJ per mole of atoms.

# Ba4AgRh

Ba4AgRh after structural relaxation (PBE-GGA, Alexandria).

a b c (Å): 9.514 9.514 8.068
angles (deg): 110.33 110.33 49.62
Fractional positions:
Ba1 0.074 0.163 0.043
Ba2 0.163 0.074 0.543
Ba3 0.316 0.401 0.352
Ba4 0.401 0.316 0.852
Ba5 0.599 0.684 0.148
Ba6 0.684 0.599 0.648
Ba7 0.837 0.926 0.457
Ba8 0.926 0.837 0.957
Ag1 0.267 0.733 0.750
Ag2 0.733 0.267 0.250
Rh1 0.000 0.500 0.000
Rh2 0.500 0.000 0.500

Computed properties:
The calculation puts the density of states at the Fermi level at 2.3 states/eV/f.u. The calculation puts the final energy at -37.632 eV for the cell shown. The energy above the most stable polymorph in this dataset comes out at 0.017 eV/atom. As for the mass density: 4.911 Mg/m³. The calculation puts the energy of formation at -14.83 kJ per mole of atoms.

# BaAgRh2

BaAgRh2 after structural relaxation (PBE-GGA, Alexandria).

a b c (Å): 3.289 4.447 6.253
angles (deg): 90.00 105.13 90.00
Fractional positions:
Ba1 0.000 0.000 0.000
Ag1 0.318 0.500 0.638
Rh1 0.635 0.500 0.269
Rh2 0.736 0.000 0.475

Computed properties:
The calculation puts the density of states at the Fermi level at 5.2 states/eV/f.u. The calculation puts the final energy at -18.407 eV for the cell shown. As for the mass density: 8.484 Mg/m³. The calculation puts the energy of formation at 25.81 kJ per mole of atoms.